Computed, not measured: crystalline NpAg2Br7 at its relaxed geometry at the PBE-GGA level of DFT.

## Properties
- space group = C2/c (15)
- total DFT energy (no corrections) (eV/atom) = -3.680

a b c (Å): 8.7009 8.7009 10.1349
angles (deg): 104.86 104.86 55.15
Closest atoms and distances in Å follow each position.
Fractional positions:
Np 0.0129 0.9871 0.7500  9 Br 2.81-3.11
Np 0.9871 0.0129 0.2500  9 Br 2.81-3.11
Ag 0.3252 0.3367 0.2343  4 Br 2.68-2.72
Ag 0.3367 0.3252 0.7343  4 Br 2.68-2.72
Ag 0.6633 0.6748 0.2657  4 Br 2.68-2.72
Ag 0.6748 0.6633 0.7657  4 Br 2.68-2.72
Br 0.0129 0.3605 0.2694  2 Ag 2.69-2.71
Br 0.0712 0.7758 0.4625  2 Np 3.01-3.03, 1 Br 3.28
Br 0.0904 0.6489 0.1125  1 Ag 2.68, 1 Np 2.81
Br 0.2242 0.9288 0.0375  2 Np 3.01-3.03, 1 Br 3.28
Br 0.3511 0.9096 0.3875  1 Ag 2.68, 1 Np 2.81
Br 0.3605 0.0129 0.7694  2 Ag 2.69-2.71
Br 0.3931 0.6069 0.7500  2 Ag 2.72
Br 0.6069 0.3931 0.2500  2 Ag 2.72
Br 0.6395 0.9871 0.2306  2 Ag 2.69-2.71
Br 0.6489 0.0904 0.6125  1 Ag 2.68, 1 Np 2.81
Br 0.7758 0.0712 0.9625  2 Np 3.01-3.03, 1 Br 3.28
Br 0.9096 0.3511 0.8875  1 Ag 2.68, 1 Np 2.81
Br 0.9288 0.2242 0.5375  2 Np 3.01-3.03, 1 Br 3.28
Br 0.9871 0.6395 0.7306  2 Ag 2.69-2.71



Computed, not measured: crystalline Li5Gd3Sn12 at its relaxed geometry at the PBE-GGA level of DFT.

## Properties
- space group = Ia-3d (230)
- total DFT energy (no corrections) (eV/atom) = -5.039
- E_form (eV per atom) = -0.047

a b c (Å): 15.2510 15.2510 15.2510
angles (deg): 109.47 109.47 109.47
Closest atoms and distances in Å follow each position.
Fractional positions:
Li 0.0000 0.0000 0.0000  6 Sn 2.84
Li 0.0000 0.0000 0.5000  6 Sn 2.84
Li 0.0000 0.5000 0.0000  6 Sn 2.84
Li 0.0000 0.5000 0.5000  6 Sn 2.84
Li 0.1250 0.7500 0.8750  4 Sn 3.14
Li 0.1250 0.8750 0.2500  4 Sn 3.14
Li 0.2500 0.1250 0.8750  4 Sn 3.14
Li 0.2500 0.6250 0.3750  4 Sn 3.14
Li 0.3750 0.2500 0.6250  4 Sn 3.14
Li 0.3750 0.6250 0.7500  4 Sn 3.14
Li 0.5000 0.0000 0.0000  6 Sn 2.84
Li 0.5000 0.0000 0.5000  6 Sn 2.84
Li 0.5000 0.5000 0.0000  6 Sn 2.84
Li 0.5000 0.5000 0.5000  6 Sn 2.84
Li 0.6250 0.3750 0.2500  4 Sn 3.14
Li 0.6250 0.7500 0.3750  4 Sn 3.14
Li 0.7500 0.3750 0.6250  4 Sn 3.14
Li 0.7500 0.8750 0.1250  4 Sn 3.14
Li 0.8750 0.1250 0.7500  4 Sn 3.14
Li 0.8750 0.2500 0.1250  4 Sn 3.14
Gd 0.1250 0.2500 0.3750  8 Sn 3.14-3.17
Gd 0.1250 0.3750 0.7500  8 Sn 3.14-3.17
Gd 0.2500 0.3750 0.1250  8 Sn 3.14-3.17
Gd 0.2500 0.8750 0.6250  8 Sn 3.14-3.17
Gd 0.3750 0.1250 0.2500  8 Sn 3.14-3.17
Gd 0.3750 0.7500 0.1250  8 Sn 3.14-3.17
Gd 0.6250 0.2500 0.8750  8 Sn 3.14-3.17
Gd 0.6250 0.8750 0.7500  8 Sn 3.14-3.17
Gd 0.7500 0.1250 0.3750  8 Sn 3.14-3.17
Gd 0.7500 0.6250 0.8750  8 Sn 3.14-3.17
Gd 0.8750 0.6250 0.2500  8 Sn 3.14-3.17
Gd 0.8750 0.7500 0.6250  8 Sn 3.14-3.17
Sn 0.0709 0.2155 0.1444  2 Li 2.84-3.14, 2 Sn 3.12, 2 Gd 3.14-3.17
Sn 0.0709 0.3554 0.9265  2 Li 2.84-3.14, 2 Sn 3.12, 2 Gd 3.14-3.17
Sn 0.0711 0.7155 0.6446  2 Li 2.84-3.14, 2 Sn 3.12, 2 Gd 3.14-3.17
Sn 0.0711 0.8556 0.4265  2 Li 2.84-3.14, 2 Sn 3.12, 2 Gd 3.14-3.17
Sn 0.0735 0.6444 0.4289  2 Li 2.84-3.14, 2 Sn 3.12, 2 Gd 3.14-3.17
Sn 0.0735 0.9291 0.6446  2 Li 2.84-3.14, 2 Sn 3.12, 2 Gd 3.14-3.17
Sn 0.1444 0.0709 0.2155  2 Li 2.84-3.14, 2 Sn 3.12, 2 Gd 3.14-3.17
Sn 0.1444 0.5735 0.9289  2 Li 2.84-3.14, 2 Sn 3.12, 2 Gd 3.14-3.17
Sn 0.1446 0.2155 0.5711  2 Li 2.84-3.14, 2 Sn 3.12, 2 Gd 3.14-3.17
Sn 0.1446 0.4291 0.5735  2 Li 2.84-3.14, 2 Sn 3.12, 2 Gd 3.14-3.17
Sn 0.2155 0.1444 0.0709  2 Li 2.84-3.14, 2 Sn 3.12, 2 Gd 3.14-3.17
Sn 0.2155 0.5711 0.1446  2 Li 2.84-3.14, 2 Sn 3.12, 2 Gd 3.14-3.17
Sn 0.2845 0.3554 0.9289  2 Li 2.84-3.14, 2 Sn 3.12, 2 Gd 3.14-3.17
Sn 0.2845 0.4291 0.3556  2 Li 2.84-3.14, 2 Sn 3.12, 2 Gd 3.14-3.17
Sn 0.3554 0.9265 0.0709  2 Li 2.84-3.14, 2 Sn 3.12, 2 Gd 3.14-3.17
Sn 0.3554 0.9289 0.2845  2 Li 2.84-3.14, 2 Sn 3.12, 2 Gd 3.14-3.17
Sn 0.3556 0.2845 0.4291  2 Li 2.84-3.14, 2 Sn 3.12, 2 Gd 3.14-3.17
Sn 0.3556 0.5711 0.9265  2 Li 2.84-3.14, 2 Sn 3.12, 2 Gd 3.14-3.17
Sn 0.4265 0.0711 0.8556  2 Li 2.84-3.14, 2 Sn 3.12, 2 Gd 3.14-3.17
Sn 0.4265 0.8554 0.5709  2 Li 2.84-3.14, 2 Sn 3.12, 2 Gd 3.14-3.17
Sn 0.4289 0.0735 0.6444  2 Li 2.84-3.14, 2 Sn 3.12, 2 Gd 3.14-3.17
Sn 0.4291 0.3556 0.2845  2 Li 2.84-3.14, 2 Sn 3.12, 2 Gd 3.14-3.17
Sn 0.4291 0.5735 0.1446  2 Li 2.84-3.14, 2 Sn 3.12, 2 Gd 3.14-3.17
Sn 0.4289 0.8554 0.7845  2 Li 2.84-3.14, 2 Sn 3.12, 2 Gd 3.14-3.17
Sn 0.5711 0.1446 0.2155  2 Li 2.84-3.14, 2 Sn 3.12, 2 Gd 3.14-3.17
Sn 0.5709 0.4265 0.8554  2 Li 2.84-3.14, 2 Sn 3.12, 2 Gd 3.14-3.17
Sn 0.5709 0.6444 0.7155  2 Li 2.84-3.14, 2 Sn 3.12, 2 Gd 3.14-3.17
Sn 0.5711 0.9265 0.3556  2 Li 2.84-3.14, 2 Sn 3.12, 2 Gd 3.14-3.17
Sn 0.5735 0.1446 0.4291  2 Li 2.84-3.14, 2 Sn 3.12, 2 Gd 3.14-3.17
Sn 0.5735 0.9289 0.1444  2 Li 2.84-3.14, 2 Sn 3.12, 2 Gd 3.14-3.17
Sn 0.6444 0.4289 0.0735  2 Li 2.84-3.14, 2 Sn 3.12, 2 Gd 3.14-3.17
Sn 0.6444 0.7155 0.5709  2 Li 2.84-3.14, 2 Sn 3.12, 2 Gd 3.14-3.17
Sn 0.6446 0.0711 0.7155  2 Li 2.84-3.14, 2 Sn 3.12, 2 Gd 3.14-3.17
Sn 0.6446 0.0735 0.9291  2 Li 2.84-3.14, 2 Sn 3.12, 2 Gd 3.14-3.17
Sn 0.7155 0.5709 0.6444  2 Li 2.84-3.14, 2 Sn 3.12, 2 Gd 3.14-3.17
Sn 0.7155 0.6446 0.0711  2 Li 2.84-3.14, 2 Sn 3.12, 2 Gd 3.14-3.17
Sn 0.7845 0.4289 0.8554  2 Li 2.84-3.14, 2 Sn 3.12, 2 Gd 3.14-3.17
Sn 0.7845 0.8556 0.9291  2 Li 2.84-3.14, 2 Sn 3.12, 2 Gd 3.14-3.17
Sn 0.8554 0.5709 0.4265  2 Li 2.84-3.14, 2 Sn 3.12, 2 Gd 3.14-3.17
Sn 0.8554 0.7845 0.4289  2 Li 2.84-3.14, 2 Sn 3.12, 2 Gd 3.14-3.17
Sn 0.8556 0.4265 0.0711  2 Li 2.84-3.14, 2 Sn 3.12, 2 Gd 3.14-3.17
Sn 0.8556 0.9291 0.7845  2 Li 2.84-3.14, 2 Sn 3.12, 2 Gd 3.14-3.17
Sn 0.9265 0.0709 0.3554  2 Li 2.84-3.14, 2 Sn 3.12, 2 Gd 3.14-3.17
Sn 0.9265 0.3556 0.5711  2 Li 2.84-3.14, 2 Sn 3.12, 2 Gd 3.14-3.17
Sn 0.9289 0.1444 0.5735  2 Li 2.84-3.14, 2 Sn 3.12, 2 Gd 3.14-3.17
Sn 0.9289 0.2845 0.3554  2 Li 2.84-3.14, 2 Sn 3.12, 2 Gd 3.14-3.17
Sn 0.9291 0.6446 0.0735  2 Li 2.84-3.14, 2 Sn 3.12, 2 Gd 3.14-3.17
Sn 0.9291 0.7845 0.8556  2 Li 2.84-3.14, 2 Sn 3.12, 2 Gd 3.14-3.17



Computed, not measured: crystalline PrDyS2 at its relaxed geometry at the PBE-GGA level of DFT.

## Properties
- distance to the lowest polymorph of the same formula (meV per atom) = 69
- space group = R3m (160)
- total DFT energy (no corrections) (eV/atom) = -6.355

a b c (Å): 3.8995 3.8995 21.0273
angles (deg): 90.00 90.00 120.00
Closest atoms and distances in Å follow each position.
Fractional positions:
Pr 0.0000 0.0000 0.0000  6 S 2.83-2.98
Pr 0.3333 0.6667 0.6667  6 S 2.83-2.98
Pr 0.6667 0.3333 0.3333  6 S 2.83-2.98
Dy 0.0000 0.0000 0.8222  6 S 2.73-2.87
Dy 0.3333 0.6667 0.4888  6 S 2.73-2.87
Dy 0.6667 0.3333 0.1555  6 S 2.73-2.87
S 0.0000 0.0000 0.4150  3 Dy 2.73, 3 Pr 2.83
S 0.0000 0.0000 0.5737  3 Dy 2.87, 3 Pr 2.98
S 0.3333 0.6667 0.0817  3 Dy 2.73, 3 Pr 2.83
S 0.3333 0.6667 0.2404  3 Dy 2.87, 3 Pr 2.98
S 0.6667 0.3333 0.7483  3 Dy 2.73, 3 Pr 2.83
S 0.6667 0.3333 0.9071  3 Dy 2.87, 3 Pr 2.98



Computed, not measured: crystalline Nd2ErTl2 at its relaxed geometry at the PBE-GGA level of DFT.

## Properties
- distance to the lowest polymorph of the same formula (meV per atom) = 0
- space group = Immm (71)
- total DFT energy (no corrections) (eV/atom) = -4.047
- E_form (eV per atom) = -0.280

a b c (Å): 4.8994 6.9659 9.0758
angles (deg): 90.00 90.00 90.00
Closest atoms and distances in Å follow each position.
Fractional positions:
Nd 0.0000 0.0000 0.1935  6 Tl 3.39, 1 Nd 3.51, 2 Er 3.71
Nd 0.0000 0.0000 0.8065  6 Tl 3.39, 1 Nd 3.51, 2 Er 3.71
Nd 0.5000 0.5000 0.3065  6 Tl 3.39, 1 Nd 3.51, 2 Er 3.71
Nd 0.5000 0.5000 0.6935  6 Tl 3.39, 1 Nd 3.51, 2 Er 3.71
Er 0.0000 0.5000 0.0000  4 Tl 3.12
Er 0.5000 0.0000 0.5000  4 Tl 3.12
Tl 0.0000 0.2784 0.5000  1 Tl 3.09, 2 Er 3.12, 6 Nd 3.39
Tl 0.0000 0.7216 0.5000  1 Tl 3.09, 2 Er 3.12, 6 Nd 3.39
Tl 0.5000 0.2216 0.0000  1 Tl 3.09, 2 Er 3.12, 6 Nd 3.39
Tl 0.5000 0.7784 0.0000  1 Tl 3.09, 2 Er 3.12, 6 Nd 3.39



Computed, not measured: crystalline Rb3ErTm2O6 at its relaxed geometry at the PBE-GGA level of DFT.

## Properties
- space group = C2/m (12)
- total DFT energy (no corrections) (eV/atom) = -6.584

a b c (Å): 5.9903 5.9903 6.8407
angles (deg): 98.39 98.39 120.00
Closest atoms and distances in Å follow each position.
Fractional positions:
Rb 0.0000 0.0000 0.0000  6 O 2.92-2.93
Rb 0.3332 0.6668 0.0000  6 O 2.92-2.93
Rb 0.6668 0.3332 0.0000  6 O 2.92-2.93
Er 0.5000 0.5000 0.5000  6 O 2.30
Tm 0.1667 0.8333 0.5000  6 O 2.29
Tm 0.8333 0.1667 0.5000  6 O 2.29
O 0.1074 0.4423 0.3268  2 Tm 2.29, 1 Er 2.30
O 0.2228 0.2228 0.6732  2 Tm 2.29, 1 Er 2.30
O 0.4423 0.1074 0.3268  2 Tm 2.29, 1 Er 2.30
O 0.5577 0.8926 0.6732  2 Tm 2.29, 1 Er 2.30
O 0.7772 0.7772 0.3268  2 Tm 2.29, 1 Er 2.30
O 0.8926 0.5577 0.6732  2 Tm 2.29, 1 Er 2.30